# ZrMoNO2, relaxed, DFT GGA+U
# Mass density ... 5.29 g/cm3
# Energy ... -7.717 eV per atom
data_ZrMoNO2
_cell_length_a 4.0805
_cell_length_b 4.0805
_cell_length_c 4.3938
_cell_angle_alpha 90.00
_cell_angle_beta 90.00
_cell_angle_gamma 90.00
_symmetry_space_group_name_H-M 'P 4/m m m'
_symmetry_Int_Tables_number 123
_symmetry_space_group_name_Hall '-P 4 2'
loop_
_atom_site_label
_atom_site_type_symbol
_atom_site_fract_x
_atom_site_fract_y
_atom_site_fract_z
_atom_site_occupancy
Zr1 Zr 0.0000 0.0000 0.0000 1
Mo1 Mo 0.5000 0.5000 0.5000 1
N1 N 0.0000 0.0000 0.5000 1
O1 O 0.0000 0.5000 0.0000 1

***

# ZrMoN2O, relaxed, DFT GGA+U
# Mass density ... 5.17 g/cm3
# Energy ... -7.506 eV per atom
data_ZrMoN2O
_cell_length_a 4.2813
_cell_length_b 4.2813
_cell_length_c 4.0479
_cell_angle_alpha 90.00
_cell_angle_beta 90.00
_cell_angle_gamma 90.00
_symmetry_space_group_name_H-M 'P 4/m m m'
_symmetry_Int_Tables_number 123
_symmetry_space_group_name_Hall '-P 4 2'
loop_
_atom_site_label
_atom_site_type_symbol
_atom_site_fract_x
_atom_site_fract_y
_atom_site_fract_z
_atom_site_occupancy
Zr1 Zr 0.0000 0.0000 0.0000 1
Mo1 Mo 0.5000 0.5000 0.5000 1
N1 N 0.0000 0.5000 0.0000 1
O1 O 0.0000 0.0000 0.5000 1

***

# ZrMoN2O, relaxed, DFT GGA+U
# Mass density ... 6.32 g/cm3
# Energy ... -7.804 eV per atom
data_ZrMoN2O
_cell_length_a 3.9857
_cell_length_b 3.9857
_cell_length_c 3.8215
_cell_angle_alpha 90.00
_cell_angle_beta 90.00
_cell_angle_gamma 90.00
_symmetry_space_group_name_H-M 'P 4/m m m'
_symmetry_Int_Tables_number 123
_symmetry_space_group_name_Hall '-P 4 2'
loop_
_atom_site_label
_atom_site_type_symbol
_atom_site_fract_x
_atom_site_fract_y
_atom_site_fract_z
_atom_site_occupancy
Zr1 Zr 0.0000 0.0000 0.0000 1
Mo1 Mo 0.5000 0.5000 0.5000 1
N1 N 0.0000 0.5000 0.5000 1
O1 O 0.5000 0.5000 0.0000 1